Record 1
BaCa2Al2: optimized geometry, PBE-GGA.

Cell: 13.1049 4.5421 6.2215 Å, 90.00 100.79 90.00°
Closest atoms and distances in Å follow each position.
Space group C2/m (No. 12)
Symmetry-distinct sites (fractional):
Ba: 0.0000 0.0000 0.0000 (multiplicity 2)  6 Al 3.70-3.74
Ca: 0.1532 0.5000 0.5805 (multiplicity 4)  4 Al 3.20-3.33
Al: 0.2307 0.5000 0.1013 (multiplicity 4)  2 Al 2.69

Values from the calculation:
DOS(E_F)   11.9 states/eV per cell
Energy relative to the elements   -0.126 eV/atom
VASP energy   -2.81 eV per atom
Energy relative to the lowest polymorph listed for this composition   0.0 meV/atom

---

Record 2
BaCa4Al4: optimized geometry, PBE-GGA.

Cell: 10.2827 10.2827 6.1863 Å, 90.00 90.00 90.00°
Closest atoms and distances in Å follow each position.
Space group P4_2/n (No. 86, origin choice 2)
Symmetry-distinct sites (fractional):
Ba: 0.2500 0.2500 0.2500 (multiplicity 2)  4 Al 3.58
Ca: 0.1057 0.6425 0.1273 (multiplicity 8)  5 Al 3.19-3.32
Al: 0.0474 0.5857 0.6248 (multiplicity 8)  1 Al 2.54

Values from the calculation:
DOS(E_F)   15.9 states/eV per cell
Energy relative to the elements   -0.019 eV/atom
VASP energy   -2.79 eV per atom

---

Record 3
Ba3CaAl: optimized geometry, PBE-GGA.

Cell: 6.6501 6.6501 6.6501 Å, 90.00 90.00 90.00°
Closest atoms and distances in Å follow each position.
Space group Pm-3m (No. 221)
Symmetry-distinct sites (fractional):
Ba: 0.0000 0.0000 0.5000 (multiplicity 3)  2 Al 3.33
Ca: 0.5000 0.5000 0.5000 (multiplicity 1)  12 Ba 4.70
Al: 0.0000 0.0000 0.0000 (multiplicity 1)  6 Ba 3.33

Values from the calculation:
DOS(E_F)   8.4 states/eV per cell
Energy relative to the elements   0.176 eV/atom
VASP energy   -2.13 eV per atom

---

Record 4
Ba3CaAl8: optimized geometry, PBE-GGA.

Cell: 5.9558 5.9558 29.1783 Å, 90.00 90.00 120.00°
Closest atoms and distances in Å follow each position.
Space group R3m (No. 160, hexagonal axes)
Symmetry-distinct sites (fractional):
Ba: 0.0000 0.0000 0.0000 (multiplicity 3)  12 Al 3.49-3.56, 4 Ba 3.62-3.66
Ba: 0.0000 0.0000 0.1242 (multiplicity 3)  12 Al 3.44-3.49, 1 Ba 3.62, 3 Ca 3.64
Ba: 0.0000 0.0000 0.6240 (multiplicity 3)  12 Al 3.50-3.56, 1 Ca 3.65, 3 Ba 3.66
Ca: 0.0000 0.0000 0.4988 (multiplicity 3)  12 Al 3.42-3.49, 4 Ba 3.64-3.65
Al: 0.0000 0.0000 0.3130 (multiplicity 3)  6 Al 3.00-3.05
Al: 0.0000 0.0000 0.8109 (multiplicity 3)  6 Al 2.91-2.95
Al: 0.9995 0.4998 0.5598 (multiplicity 9)  6 Al 2.95-3.05
Al: 0.0016 0.5008 0.0640 (multiplicity 9)  6 Al 2.91-3.00

Values from the calculation:
DOS(E_F)   22.0 states/eV per cell
Energy relative to the elements   -0.210 eV/atom
VASP energy   -3.35 eV per atom
Energy relative to the lowest polymorph listed for this composition   0.0 meV/atom

---

Record 5
BaCaAl4: optimized geometry, PBE-GGA.

Cell: 8.2890 8.2890 8.2890 Å, 90.00 90.00 90.00°
Closest atoms and distances in Å follow each position.
Space group F-43m (No. 216)
Symmetry-distinct sites (fractional):
Ba: 0.0000 0.0000 0.0000 (multiplicity 4)  12 Al 3.44, 4 Ca 3.59
Ca: 0.2500 0.2500 0.7500 (multiplicity 4)  12 Al 3.44, 4 Ba 3.59
Al: 0.1248 0.1248 0.3752 (multiplicity 16)  6 Al 2.93

Values from the calculation:
DOS(E_F)   19.5 states/eV per cell
Energy relative to the elements   -0.217 eV/atom
VASP energy   -3.37 eV per atom
Energy relative to the lowest polymorph listed for this composition   12.3 meV/atom

---

Record 6
Ba3CaAl8: optimized geometry, PBE-GGA.

Cell: 6.0131 6.0131 9.6478 Å, 90.00 90.00 120.00°
Closest atoms and distances in Å follow each position.
Space group P3m1 (No. 156)
Symmetry-distinct sites (fractional):
Ba: 0.0000 0.0000 0.0000 (multiplicity 1)  12 Al 3.53-3.57, 4 Ba 3.54-3.70
Ba: 0.0000 0.0000 0.3671 (multiplicity 1)  12 Al 3.45-3.53, 1 Ba 3.54, 3 Ca 3.71
Ba: 0.3333 0.6667 0.8671 (multiplicity 1)  12 Al 3.51-3.56, 1 Ca 3.53, 3 Ba 3.70
Ca: 0.3333 0.6667 0.5014 (multiplicity 1)  12 Al 3.44-3.54, 4 Ba 3.53-3.71
Al: 0.0067 0.5033 0.1916 (multiplicity 3)  6 Al 2.91-3.17
Al: 0.3342 0.1671 0.6766 (multiplicity 3)  6 Al 2.91-3.01
Al: 0.6667 0.3333 0.4305 (multiplicity 1)  6 Al 2.91-2.94
Al: 0.6667 0.3333 0.9187 (multiplicity 1)  6 Al 2.91-3.17

Values from the calculation:
DOS(E_F)   6.8 states/eV per cell
Energy relative to the elements   -0.185 eV/atom
VASP energy   -3.33 eV per atom
Energy relative to the lowest polymorph listed for this composition   24.2 meV/atom

---

Record 7
BaCaAl3: optimized geometry, PBE-GGA.

Cell: 5.6090 5.6090 5.6090 Å, 90.00 90.00 90.00°
Closest atoms and distances in Å follow each position.
Space group Pm-3m (No. 221)
Symmetry-distinct sites (fractional):
Ba: 0.0000 0.0000 0.0000 (multiplicity 1)  12 Al 3.97
Ca: 0.5000 0.5000 0.5000 (multiplicity 1)  6 Al 2.80
Al: 0.0000 0.5000 0.5000 (multiplicity 3)  2 Ca 2.80

Values from the calculation:
DOS(E_F)   4.2 states/eV per cell
Energy relative to the elements   0.522 eV/atom
VASP energy   -2.51 eV per atom
Energy relative to the lowest polymorph listed for this composition   0.0 meV/atom

---

Record 8
BaCa2Al2: optimized geometry, PBE-GGA.

Cell: 8.8237 8.8237 4.2239 Å, 90.00 90.00 90.00°
Closest atoms and distances in Å follow each position.
Space group P4/mbm (No. 127)
Symmetry-distinct sites (fractional):
Ba: 0.0000 0.0000 0.0000 (multiplicity 2)  4 Al 3.58, 8 Ca 3.88
Ca: 0.1753 0.3247 0.5000 (multiplicity 4)  6 Al 3.34-3.41
Al: 0.1098 0.6098 0.0000 (multiplicity 4)  1 Al 2.74

Values from the calculation:
DOS(E_F)   7.8 states/eV per cell
Energy relative to the elements   -0.074 eV/atom
VASP energy   -2.76 eV per atom
Energy relative to the lowest polymorph listed for this composition   51.9 meV/atom

---

Record 9
BaCa2Al2: optimized geometry, PBE-GGA.

Cell: 9.4126 9.4126 3.4791 Å, 90.00 90.00 90.00°
Closest atoms and distances in Å follow each position.
Space group P4/mbm (No. 127)
Symmetry-distinct sites (fractional):
Ba: 0.0000 0.0000 0.0000 (multiplicity 2)  2 Ba 3.48, 4 Ca 3.71
Ca: 0.1271 0.3729 0.0000 (multiplicity 4)  6 Al 3.22-3.31, 3 Ca 3.38-3.48
Al: 0.1696 0.6696 0.5000 (multiplicity 4)  6 Ca 3.22-3.31, 2 Al 3.48

Values from the calculation:
DOS(E_F)   7.2 states/eV per cell
Energy relative to the elements   -0.112 eV/atom
VASP energy   -2.79 eV per atom
Energy relative to the lowest polymorph listed for this composition   13.8 meV/atom

---

Record 10
BaCaAl3: optimized geometry, PBE-GGA.

Cell: 5.7843 5.7843 5.7843 Å, 90.00 90.00 90.00°
Closest atoms and distances in Å follow each position.
Space group Pm-3m (No. 221)
Symmetry-distinct sites (fractional):
Ba: 0.0000 0.0000 0.0000 (multiplicity 1)  6 Al 2.89
Ca: 0.5000 0.5000 0.5000 (multiplicity 1)  12 Al 4.09
Al: 0.0000 0.0000 0.5000 (multiplicity 3)  2 Ba 2.89

Values from the calculation:
DOS(E_F)   5.8 states/eV per cell
Energy relative to the elements   1.036 eV/atom
VASP energy   -1.99 eV per atom
Energy relative to the lowest polymorph listed for this composition   514.0 meV/atom

---

Record 11
Ba2CaAl3Cd12: optimized geometry, PBE-GGA.

Cell: 10.4040 10.4040 18.1963 Å, 90.00 90.00 120.00°
Closest atoms and distances in Å follow each position.
Space group R-3m (No. 166, hexagonal axes)
Symmetry-distinct sites (fractional):
Ba: 0.0000 0.0000 0.1060 (multiplicity 6)  6 Cd 3.32-3.69
Ca: 0.0000 0.0000 0.5000 (multiplicity 3)  6 Cd 3.06
Al: 0.0000 0.5000 0.0000 (multiplicity 9)  6 Cd 2.66-2.88
Cd: 0.0038 0.5019 0.8539 (multiplicity 18)  1 Al 2.66
Cd: 0.0333 0.5166 0.3177 (multiplicity 18)  2 Al 2.88, 1 Cd 3.14

Values from the calculation:
DOS(E_F)   28.1 states/eV per cell
Energy relative to the elements   0.137 eV/atom
VASP energy   -1.42 eV per atom

---

Record 12
BaCaAlCd: optimized geometry, PBE-GGA.

Cell: 8.0127 8.0127 8.0127 Å, 90.00 90.00 90.00°
Closest atoms and distances in Å follow each position.
Space group F-43m (No. 216)
Symmetry-distinct sites (fractional):
Ba: 0.0000 0.0000 0.0000 (multiplicity 4)  4 Cd 3.47, 4 Al 3.47
Ca: 0.0000 0.0000 0.5000 (multiplicity 4)  4 Al 3.47, 4 Cd 3.47
Al: 0.2500 0.2500 0.7500 (multiplicity 4)  4 Ba 3.47, 4 Ca 3.47
Cd: 0.2500 0.2500 0.2500 (multiplicity 4)  4 Ba 3.47, 4 Ca 3.47

Values from the calculation:
DOS(E_F)   15.5 states/eV per cell
Energy relative to the elements   -0.194 eV/atom
VASP energy   -2.34 eV per atom

---

Record 13
BaCaEuAl: optimized geometry, PBE-GGA.

Cell: 8.3633 8.3633 8.3633 Å, 90.00 90.00 90.00°
Closest atoms and distances in Å follow each position.
Space group F-43m (No. 216)
Symmetry-distinct sites (fractional):
Ba: 0.0000 0.0000 0.0000 (multiplicity 4)  4 Al 3.62, 4 Ca 3.62
Ca: 0.2500 0.2500 0.7500 (multiplicity 4)  4 Ba 3.62, 4 Eu 3.62
Eu: 0.0000 0.0000 0.5000 (multiplicity 4)  4 Ca 3.62, 4 Al 3.62
Al: 0.2500 0.2500 0.2500 (multiplicity 4)  4 Ba 3.62, 4 Eu 3.62

Values from the calculation:
DOS(E_F)   47.4 states/eV per cell
Energy relative to the elements   0.032 eV/atom
VASP energy   -4.45 eV per atom

---

Record 14
BaCaAlF7: optimized geometry, PBE-GGA.

Cell: 5.4331 5.4611 19.6026 Å, 90.00 103.68 90.00°
Closest atoms and distances in Å follow each position.
Space group P2/c (No. 13)
Symmetry-distinct sites (fractional):
Ba: 0.1842 0.2426 0.4324 (multiplicity 4)  7 F 2.60-2.90
Ca: 0.0000 0.3219 0.7500 (multiplicity 2)  8 F 2.25-2.46
Ca: 0.5000 0.2077 0.2500 (multiplicity 2)  8 F 2.24-2.49
Al: 0.3202 0.2248 0.6195 (multiplicity 4)  6 F 1.78-1.88
F: 0.0082 0.2823 0.5604 (multiplicity 4)  1 Al 1.84
F: 0.1594 0.0290 0.6750 (multiplicity 4)  1 Al 1.88
F: 0.2238 0.3625 0.3072 (multiplicity 4)  2 Ca 2.24-2.25
F: 0.2628 0.4812 0.6742 (multiplicity 4)  1 Al 1.83
F: 0.3433 0.0443 0.0654 (multiplicity 4)  1 Al 1.83
F: 0.3836 0.1381 0.8188 (multiplicity 4)  1 Al 1.83
F: 0.4658 0.4069 0.5646 (multiplicity 4)  1 Al 1.78

Values from the calculation:
DOS(E_F)   0.0 states/eV per cell
VASP energy   -5.88 eV per atom
Formation energy from raw total energies   -3807 meV/atom

---

Record 15
BaCaAlGa: optimized geometry, PBE-GGA.

Cell: 7.8574 7.8574 7.8574 Å, 90.00 90.00 90.00°
Closest atoms and distances in Å follow each position.
Space group F-43m (No. 216)
Symmetry-distinct sites (fractional):
Ba: 0.0000 0.0000 0.0000 (multiplicity 4)  4 Ga 3.40, 4 Al 3.40
Ca: 0.0000 0.0000 0.5000 (multiplicity 4)  4 Al 3.40, 4 Ga 3.40
Al: 0.2500 0.2500 0.2500 (multiplicity 4)  4 Ba 3.40, 4 Ca 3.40
Ga: 0.2500 0.2500 0.7500 (multiplicity 4)  4 Ca 3.40, 4 Ba 3.40

Values from the calculation:
DOS(E_F)   10.7 states/eV per cell
Energy relative to the elements   -0.200 eV/atom
VASP energy   -2.87 eV per atom

---

Record 16
BaCa2Al2Ga2: optimized geometry, PBE-GGA.

Cell: 4.5901 4.5901 31.7609 Å, 90.00 90.00 120.00°
Closest atoms and distances in Å follow each position.
Space group R-3m (No. 166, hexagonal axes)
Symmetry-distinct sites (fractional):
Ba: 0.0000 0.0000 0.0000 (multiplicity 3)  6 Al 3.62, 6 Ga 3.78
Ca: 0.0000 0.0000 0.1320 (multiplicity 6)  3 Ga 3.04, 3 Al 3.16
Al: 0.0000 0.0000 0.4110 (multiplicity 6)  3 Ga 2.66
Ga: 0.0000 0.0000 0.2485 (multiplicity 6)  3 Al 2.66

Values from the calculation:
DOS(E_F)   12.3 states/eV per cell
Energy relative to the elements   -0.314 eV/atom
VASP energy   -3.09 eV per atom

---

Record 17
BaCaAl2Ge2: optimized geometry, PBE-GGA.

Cell: 4.7849 4.7849 7.6049 Å, 90.00 90.00 120.00°
Closest atoms and distances in Å follow each position.
Space group P-3m1 (No. 164)
Symmetry-distinct sites (fractional):
Ba: 0.0000 0.0000 0.0000 (multiplicity 1)  6 Ge 3.57, 6 Al 3.71, 2 Ca 3.80
Ca: 0.0000 0.0000 0.5000 (multiplicity 1)  6 Al 3.07, 6 Ge 3.17
Al: 0.3333 0.6667 0.6746 (multiplicity 2)  4 Ge 2.77-2.88, 3 Ca 3.07
Ge: 0.3333 0.6667 0.2964 (multiplicity 2)  4 Al 2.77-2.88

Values from the calculation:
DOS(E_F)   2.8 states/eV per cell
Energy relative to the elements   -0.349 eV/atom
VASP energy   -3.79 eV per atom

---

Record 18
Ba2CaAlH: optimized geometry, PBE-GGA.

Cell: 5.5311 5.5311 5.1246 Å, 90.00 90.00 90.00°
Closest atoms and distances in Å follow each position.
Space group P4/mmm (No. 123)
Symmetry-distinct sites (fractional):
Ba: 0.0000 0.5000 0.0000 (multiplicity 2)  2 H 2.77
Ca: 0.0000 0.0000 0.5000 (multiplicity 1)  2 H 2.56
Al: 0.5000 0.5000 0.5000 (multiplicity 1)  8 Ba 3.77, 4 Ca 3.91
H: 0.0000 0.0000 0.0000 (multiplicity 1)  2 Ca 2.56, 4 Ba 2.77

Values from the calculation:
DOS(E_F)   3.6 states/eV per cell
VASP energy   -2.72 eV per atom

---

Record 19
BaCaAlIn: optimized geometry, PBE-GGA.

Cell: 8.0309 8.0309 8.0309 Å, 90.00 90.00 90.00°
Closest atoms and distances in Å follow each position.
Space group F-43m (No. 216)
Symmetry-distinct sites (fractional):
Ba: 0.0000 0.0000 0.0000 (multiplicity 4)  4 In 3.48, 4 Al 3.48
Ca: 0.0000 0.0000 0.5000 (multiplicity 4)  4 In 3.48, 4 Al 3.48
Al: 0.2500 0.2500 0.7500 (multiplicity 4)  4 Ba 3.48, 4 Ca 3.48
In: 0.2500 0.2500 0.2500 (multiplicity 4)  4 Ba 3.48, 4 Ca 3.48

Values from the calculation:
DOS(E_F)   9.6 states/eV per cell
Energy relative to the elements   -0.234 eV/atom
VASP energy   -2.84 eV per atom

---

Record 20
BaCaAl2Ir: optimized geometry, PBE-GGA.

Cell: 4.9259 4.9259 5.4424 Å, 90.00 90.00 90.00°
Closest atoms and distances in Å follow each position.
Space group P4/mmm (No. 123)
Symmetry-distinct sites (fractional):
Ba: 0.0000 0.0000 0.0000 (multiplicity 1)  4 Ca 3.48, 8 Al 3.67
Ca: 0.5000 0.5000 0.0000 (multiplicity 1)  2 Ir 2.72
Al: 0.0000 0.5000 0.5000 (multiplicity 2)  2 Ir 2.46
Ir: 0.5000 0.5000 0.5000 (multiplicity 1)  4 Al 2.46, 2 Ca 2.72

Values from the calculation:
DOS(E_F)   2.9 states/eV per cell
Energy relative to the elements   -0.391 eV/atom
VASP energy   -4.44 eV per atom